# Cd5HgSb

Cd5HgSb after structural relaxation (PBE, the Alexandria database).

```
data_Cd5HgSb
_chemical_formula_sum 'Cd10 Hg2 Sb2'
_cell_length_a 5.832
_cell_length_b 7.189
_cell_length_c 8.922
_cell_angle_alpha 90.00
_cell_angle_beta 90.00
_cell_angle_gamma 90.00
_space_group_name_H-M_alt 'I m m 2'
_space_group_IT_number 44
loop_
_space_group_symop_operation_xyz
'x,y,z'
'-x,-y,z'
'-x,y,z'
'x,-y,z'
'x+1/2,y+1/2,z+1/2'
'-x+1/2,-y+1/2,z+1/2'
'-x+1/2,y+1/2,z+1/2'
'x+1/2,-y+1/2,z+1/2'
loop_
_atom_site_label
_atom_site_fract_x
_atom_site_fract_y
_atom_site_fract_z
Cd1 0.000 0.000 0.000
Cd2 0.000 0.305 0.536
Cd3 0.242 0.500 0.213
Hg1 0.000 0.500 0.872
Sb1 0.000 0.000 0.321
```

Results
**Calculated density**: 7.9 Mg/m³
**DOS at the Fermi energy**: 3.9 states/eV/cell
**Raw total energy**: -1.178 eV/atom